Record 1
# Pm6Pr8Y

Crystalline Pm6Pr8Y at its relaxed geometry (PBE, Alexandria).

The structure in POSCAR format:
```
Pm6Pr8Y
1.0
8.018 0.111 3.856
2.470 7.629 3.856
0.150 0.111 8.896
Pr Pm Y
8 6 1
Direct
0.422 0.422 0.422
0.716 0.751 0.113
0.284 0.249 0.887
0.751 0.113 0.716
0.887 0.284 0.249
0.578 0.578 0.578
0.249 0.887 0.284
0.113 0.716 0.751
0.539 0.243 0.097
0.097 0.539 0.243
0.757 0.903 0.461
0.461 0.757 0.903
0.903 0.461 0.757
0.243 0.097 0.539
0.000 0.000 0.000
```

Summary:
The total energy comes out at -4.768 eV per atom. The energy above the most stable polymorph in this dataset comes out at 0.0 meV/atom. The calculation puts the formation energy at 0.112 eV/atom.

Record 2
# PaAlCo4Si2

Crystalline PaAlCo4Si2 at its relaxed geometry (PBE, Alexandria).

The structure in POSCAR format:
```
PaAlCo4Si2
1.0
3.892 0.000 0.000
1.946 3.371 0.000
1.946 1.124 8.002
Al Si Pa Co
1 2 1 4
Direct
0.500 0.500 0.500
0.238 0.238 0.287
0.762 0.762 0.713
0.000 0.000 0.000
0.132 0.132 0.603
0.598 0.598 0.205
0.868 0.868 0.397
0.402 0.402 0.795
```

Summary:
The total energy comes out at -7.166 eV per atom. The uncorrected formation energy comes out at -0.603 eV per atom.

Record 3
# PuPa2PN6

Crystalline PuPa2PN6 at its relaxed geometry (PBE, Alexandria).

The structure in POSCAR format:
```
PuPa2PN6
1.0
4.910 0.000 0.000
0.000 5.233 0.000
0.000 0.000 5.233
N Pu P Pa
6 1 1 2
Direct
0.728 0.224 0.224
0.258 0.000 0.000
0.728 0.776 0.776
0.728 0.224 0.776
0.101 0.500 0.500
0.728 0.776 0.224
0.550 0.500 0.500
0.601 0.000 0.000
0.013 0.000 0.500
0.013 0.500 0.000
```

Summary:
The total energy comes out at -9.740 eV per atom. The uncorrected formation energy comes out at -0.871 eV per atom.

Record 4
# Pr2SmAu4

Crystalline Pr2SmAu4 at its relaxed geometry (PBE, Alexandria).

The structure in POSCAR format:
```
Pr2SmAu4
1.0
-4.591 2.685 0.747
-0.438 -2.116 4.917
5.882 4.783 -0.350
Au Pr Sm
4 2 1
Direct
0.616 0.116 0.231
0.884 0.384 0.769
0.384 0.884 0.769
0.116 0.616 0.231
0.719 0.719 0.438
0.281 0.281 0.562
0.000 0.000 0.000
```

Summary:
The total energy comes out at -4.559 eV per atom. The energy above the most stable polymorph in this dataset comes out at 0.0 meV/atom. The calculation puts the formation energy at -0.646 eV/atom.

Record 5
# RePCl2

Crystalline RePCl2 at its relaxed geometry (PBE, Alexandria).

The structure in POSCAR format:
```
RePCl2
1.0
2.929 0.000 0.000
0.000 2.928 0.000
0.000 0.000 9.016
P Cl Re
1 2 1
Direct
0.500 0.500 0.250
0.000 0.000 0.918
0.000 0.000 0.582
0.500 0.500 0.750
```

Summary:
The total energy comes out at -4.353 eV per atom. The energy above the most stable polymorph in this dataset comes out at 1317.3 meV/atom. The uncorrected formation energy comes out at 1.035 eV per atom.

Record 6
# Tl2InAu

Crystalline Tl2InAu at its relaxed geometry (PBE, Alexandria).

The structure in POSCAR format:
```
Tl2InAu
1.0
-3.110 1.853 -0.394
-1.744 -0.027 -3.197
-6.580 -7.131 1.573
Tl Au In
2 1 1
Direct
0.261 0.261 0.218
0.073 0.073 0.782
0.667 0.667 0.000
0.500 0.500 0.500
```

Summary:
The total energy comes out at -2.653 eV per atom. The energy above the most stable polymorph in this dataset comes out at 81.0 meV/atom. The calculation puts the formation energy at 0.034 eV/atom.